1.
This record from the Alexandria database describes an optimized crystal structure of Pa4FePS2. The functional is GGA-PBE.

Summary:
Raw formation energy (eV per formula unit): -8.902
Theoretical density (kg/m³): 10508
Size of the total moment (μB/atom): 0.00
SG: P2/m

Cell lengths 3.785, 6.838, 6.932 Å; angles 71.25, 90.00, 90.00 degrees
Element x y z (fractional)
Pa  0.000  0.728  0.771
Pa  0.000  0.272  0.229
Pa  0.500  0.746  0.245
Pa  0.500  0.254  0.755
Fe  0.500  0.500  0.000
P  0.000  0.500  0.500
S  0.000  0.000  0.000
S  0.500  0.000  0.500


2.
This record from the Alexandria database describes an optimized crystal structure of ReRh. The functional is GGA-PBE.

Summary:
Theoretical density (kg/m³): 9072
E_form (meV per atom): 1596
Size of the total moment (μB/atom): 0.00
Excess energy over the best structure of this formula in the dataset (meV/atom): 1773
SG: Pm-3n

Cell lengths 6.822, 6.822, 6.822 Å; angles 90.00, 90.00, 90.00 degrees
Element x y z (fractional)
Re  0.250  0.500  0.000
Re  0.750  0.500  0.000
Re  0.500  0.000  0.250
Re  0.500  0.000  0.750
Re  0.000  0.250  0.500
Re  0.000  0.750  0.500
Rh  0.250  0.000  0.500
Rh  0.750  0.000  0.500
Rh  0.000  0.500  0.250
Rh  0.000  0.500  0.750
Rh  0.500  0.250  0.000
Rh  0.500  0.750  0.000


3.
This record from the Alexandria database describes an optimized crystal structure of PmTl2TcO6. The functional is GGA-PBE.

Summary:
Raw formation energy (eV per formula unit): -15.066
Theoretical density (kg/m³): 5807
Size of the total moment (μB/atom): 0.00
SG: P-3m1

Cell lengths 5.955, 6.439, 6.439 Å; angles 120.00, 90.00, 90.00 degrees
Element x y z (fractional)
Pm  0.500  0.000  0.000
Tl  0.028  0.333  0.667
Tl  0.972  0.667  0.333
Tc  0.000  0.000  0.000
O  0.804  0.137  0.273
O  0.804  0.137  0.863
O  0.804  0.727  0.863
O  0.196  0.863  0.137
O  0.196  0.273  0.137
O  0.196  0.863  0.727


4.
This record from the Alexandria database describes an optimized crystal structure of YMnFe2. The functional is GGA-PBE.

Summary:
Theoretical density (kg/m³): 6708
E_form (meV per atom): 674
Size of the total moment (μB/atom): 1.68
Excess energy over the best structure of this formula in the dataset (meV/atom): 552
SG: R-3m

Cell lengths 8.700, 8.700, 8.700 Å; angles 19.36, 19.36, 19.36 degrees
Each line ends with the local moment (μB).
Element x y z (fractional)
Fe  0.013  0.013  0.013  2.36
Fe  0.487  0.487  0.487  2.36
Mn  0.750  0.750  0.750  2.01
Y  0.250  0.250  0.250  -0.03


5.
This record from the Alexandria database describes an optimized crystal structure of SrCa2TlCu. The functional is GGA-PBE.

Summary:
Theoretical density (kg/m³): 4002
E_form (meV per atom): -40
Size of the total moment (μB/atom): 0.00
Excess energy over the best structure of this formula in the dataset (meV/atom): 14
SG: P4/mmm

Cell lengths 5.533, 5.533, 5.905 Å; angles 90.00, 90.00, 90.00 degrees
Element x y z (fractional)
Sr  0.000  0.000  0.500
Tl  0.500  0.500  0.500
Ca  0.000  0.500  0.000
Ca  0.500  0.000  0.000
Cu  0.000  0.000  0.000


6.
This record from the Alexandria database describes an optimized crystal structure of TbCe5N6. The functional is GGA-PBE.

Summary:
Raw formation energy (eV per formula unit): -18.268
Theoretical density (kg/m³): 8206
Size of the total moment (μB/atom): 0.08
SG: C2/m

Cell lengths 6.161, 6.160, 6.160 Å; angles 60.00, 80.42, 70.56 degrees
Each line ends with the local moment (μB).
Element x y z (fractional)
Tb  0.000  0.000  0.000  0.02
Ce  0.500  0.167  0.667  0.17
Ce  0.000  0.333  0.333  0.18
Ce  0.500  0.500  0.000  0.17
Ce  0.000  0.667  0.667  0.18
Ce  0.500  0.833  0.333  0.17
N  0.752  0.083  0.333  -0.01
N  0.248  0.584  0.333  -0.01
N  0.250  0.249  0.000  -0.01
N  0.750  0.751  0.000  -0.01
N  0.752  0.416  0.667  -0.01
N  0.248  0.917  0.667  -0.01


7.
This record from the Alexandria database describes an optimized crystal structure of K2Pt2PbO6. The functional is GGA-PBE.

Summary:
Raw formation energy (eV per formula unit): -9.285
Theoretical density (kg/m³): 7144
Size of the total moment (μB/atom): 0.00
SG: C2/m

Cell lengths 5.811, 5.811, 6.523 Å; angles 98.20, 98.20, 121.62 degrees
Element x y z (fractional)
K  0.838  0.162  0.000
K  0.162  0.838  0.000
Pt  0.335  0.665  0.500
Pt  0.665  0.335  0.500
Pb  0.000  0.000  0.500
O  0.680  0.680  0.681
O  0.050  0.430  0.676
O  0.320  0.320  0.319
O  0.430  0.050  0.676
O  0.950  0.570  0.324
O  0.570  0.950  0.324


8.
This record from the Alexandria database describes an optimized crystal structure of OsI2Br2F4. The functional is GGA-PBE.

Summary:
Raw formation energy (eV per formula unit): -7.706
Theoretical density (kg/m³): 5045
Size of the total moment (μB/atom): 0.17
SG: C2/m

Cell lengths 6.673, 6.422, 6.422 Å; angles 55.27, 97.44, 97.44 degrees
Each line ends with the local moment (μB).
Element x y z (fractional)
Os  0.500  0.000  0.000  1.69
I  0.168  0.623  0.623  -0.28
I  0.832  0.377  0.377  -0.28
Br  0.218  0.121  0.121  0.02
Br  0.782  0.879  0.879  0.02
F  0.362  0.674  0.119  0.12
F  0.638  0.881  0.326  0.12
F  0.638  0.326  0.881  0.12
F  0.362  0.119  0.674  0.12


9.
This record from the Alexandria database describes an optimized crystal structure of TbCdPdPt. The functional is GGA-PBE.

Summary:
Theoretical density (kg/m³): 12115
E_form (meV per atom): -807
Size of the total moment (μB/atom): 0.00
SG: F-43m

Cell lengths 4.806, 4.806, 4.806 Å; angles 60.00, 60.00, 60.00 degrees
Element x y z (fractional)
Tb  0.500  0.500  0.500
Pd  0.250  0.250  0.250
Pt  0.750  0.750  0.750
Cd  0.000  0.000  0.000


10.
This record from the Alexandria database describes an optimized crystal structure of AcEr2Te4. The functional is GGA-PBE.

Summary:
Raw formation energy (eV per formula unit): -9.970
Theoretical density (kg/m³): 7513
Size of the total moment (μB/atom): 0.00
SG: Cmcm

Cell lengths 4.423, 7.479, 14.994 Å; angles 90.00, 90.00, 107.20 degrees
Element x y z (fractional)
Ac  0.621  0.242  0.750
Ac  0.379  0.758  0.250
Er  0.130  0.259  0.437
Er  0.870  0.741  0.937
Er  0.130  0.259  0.063
Er  0.870  0.741  0.563
Te  0.770  0.540  0.117
Te  0.770  0.540  0.383
Te  0.230  0.460  0.883
Te  0.230  0.460  0.617
Te  0.947  0.895  0.750
Te  0.053  0.105  0.250
Te  0.500  0.000  0.000
Te  0.500  0.000  0.500


11.
This record from the Alexandria database describes an optimized crystal structure of HfBeGe. The functional is GGA-PBE.

Summary:
Theoretical density (kg/m³): 9575
E_form (meV per atom): -420
Size of the total moment (μB/atom): 0.00
SG: I-4m2

Cell lengths 3.696, 3.696, 13.212 Å; angles 90.00, 90.00, 90.00 degrees
Element x y z (fractional)
Be  0.000  0.500  0.326
Be  0.500  0.000  0.674
Be  0.500  0.000  0.826
Be  0.000  0.500  0.174
Ge  0.000  0.000  0.092
Ge  0.000  0.000  0.908
Ge  0.500  0.500  0.592
Ge  0.500  0.500  0.408
Hf  0.000  0.500  0.750
Hf  0.500  0.000  0.250
Hf  0.000  0.000  0.500
Hf  0.500  0.500  0.000


12.
This record from the Alexandria database describes an optimized crystal structure of PmGdMnPd. The functional is GGA-PBE.

Summary:
Theoretical density (kg/m³): 8304
E_form (meV per atom): -183
Size of the total moment (μB/atom): 2.63
SG: F-43m

Cell lengths 5.080, 5.080, 5.080 Å; angles 60.00, 60.00, 60.00 degrees
Each line ends with the local moment (μB).
Element x y z (fractional)
Mn  0.500  0.500  0.500  3.50
Gd  0.750  0.750  0.750  6.89
Pd  0.000  0.000  0.000  0.05
Pm  0.250  0.250  0.250  -0.12